BeAsAu2 | PBE-GGA | relaxed

Structure (CIF):
```
data_BeAsAu2
_cell_length_a 3.0885
_cell_length_b 3.7524
_cell_length_c 5.9455
_cell_angle_alpha 90.00
_cell_angle_beta 91.63
_cell_angle_gamma 90.00
_symmetry_space_group_name_H-M 'P 1 m 1'
_symmetry_Int_Tables_number 6
loop_
_symmetry_equiv_pos_as_xyz
'x,y,z'
'x,-y,z'
loop_
_atom_site_label
_atom_site_fract_x
_atom_site_fract_y
_atom_site_fract_z
Be1 0.0000 0.0000 0.0000
As1 0.0118 0.5000 0.2509
Au1 0.4978 0.5000 0.8648
Au2 0.9894 0.0000 0.5948
```

Values from the calculation:
Density of states at the Fermi level (states/eV/f.u.): 1.592
Total DFT energy (no corrections) (eV/atom): -3.62
Theoretical density (Mg/m³): 11.521
E above lowest polymorph (meV per atom): 73